Below is Tb3Ce2ThAs6 after structural relaxation, with properties calculated at the PBE level.

V, Å³ per atom: 25.9
Total energy, eV per atom: -6.58
Total moment, μB per atom: 0.123
Symmetry: C2/m (12)

abc: 9.3554 9.3554 8.3649
angles: 102.74 102.74 25.88
Closest atoms and distances in Å follow each position.
Positions (direct):
Tb1 0.0000 0.0000 0.0000  6 As 2.94
Tb2 0.3331 0.3331 0.6670  6 As 2.94-2.95
Tb3 0.6669 0.6669 0.3330  6 As 2.94-2.95
Ce1 0.3326 0.3326 0.1654  6 As 2.97-2.99
Ce2 0.6674 0.6674 0.8346  6 As 2.97-2.99
Th1 0.0000 0.0000 0.5000  6 As 2.98
As1 0.1656 0.1656 0.0855  3 Tb 2.94, 3 Ce 2.97
As2 0.1678 0.1678 0.5815  3 Tb 2.94-2.95, 2 Ce 2.98, 1 Th 2.98
As3 0.4993 0.4993 0.7536  3 Tb 2.94-2.95, 2 Th 2.98, 1 Ce 2.99
As4 0.5007 0.5007 0.2464  3 Tb 2.94-2.95, 2 Th 2.98, 1 Ce 2.99
As5 0.8322 0.8322 0.4185  3 Tb 2.94-2.95, 2 Ce 2.98, 1 Th 2.98
As6 0.8344 0.8344 0.9145  3 Tb 2.94, 3 Ce 2.97